1.
# HfScP2Pb, optimized geometry, DFT PBE
data_HfScP2Pb
_space_group_name_H-M_alt 'P 4/m m m'
_space_group_IT_number 123
_space_group_name_Hall '-P 4 2'
_cell_length_a 4.799
_cell_length_b 4.799
_cell_length_c 5.466
_cell_angle_alpha 90.00
_cell_angle_beta 90.00
_cell_angle_gamma 90.00
loop_
_atom_site_label
_atom_site_type_symbol
_atom_site_fract_x
_atom_site_fract_y
_atom_site_fract_z
_atom_site_occupancy
Hf1 Hf 0.000 0.000 0.000 1
Sc1 Sc 0.500 0.500 0.500 1
P1 P 0.000 0.500 0.500 1
Pb1 Pb 0.500 0.500 0.000 1
# * formation energy: 571 meV/atom
# * M_tot: 0.00 μB per cell
# * Fermi-level density of states: 4.498 states/eV/f.u.

2.
# HfZrP2Pb, optimized geometry, DFT PBE
data_HfZrP2Pb
_space_group_name_H-M_alt 'P 4/m m m'
_space_group_IT_number 123
_space_group_name_Hall '-P 4 2'
_cell_length_a 4.971
_cell_length_b 4.971
_cell_length_c 5.399
_cell_angle_alpha 90.00
_cell_angle_beta 90.00
_cell_angle_gamma 90.00
loop_
_atom_site_label
_atom_site_type_symbol
_atom_site_fract_x
_atom_site_fract_y
_atom_site_fract_z
_atom_site_occupancy
Hf1 Hf 0.000 0.000 0.000 1
Zr1 Zr 0.000 0.000 0.500 1
P1 P 0.000 0.500 0.500 1
Pb1 Pb 0.500 0.500 0.000 1
# * formation energy: 545 meV/atom
# * M_tot: 0.00 μB per cell
# * Fermi-level density of states: 4.093 states/eV/f.u.

3.
# Hf6PPd3, optimized geometry, DFT PBE
data_Hf6PPd3
_space_group_name_H-M_alt 'P 1 21/c 1'
_space_group_IT_number 14
_cell_length_a 5.895
_cell_length_b 7.295
_cell_length_c 10.860
_cell_angle_alpha 90.00
_cell_angle_beta 120.39
_cell_angle_gamma 90.00
loop_
_space_group_symop_operation_xyz
'x,y,z'
'-x,-y,-z'
'-x,y+1/2,-z+1/2'
'x,-y+1/2,z+1/2'
loop_
_atom_site_label
_atom_site_type_symbol
_atom_site_fract_x
_atom_site_fract_y
_atom_site_fract_z
_atom_site_occupancy
Hf1 Hf 0.071 0.159 0.431 1
Hf2 Hf 0.310 0.683 0.434 1
Hf3 Hf 0.425 0.045 0.254 1
P1 P 0.500 0.000 0.500 1
Pd1 Pd 0.000 0.000 0.000 1
Pd2 Pd 0.175 0.123 0.761 1
# * formation energy: -489 meV/atom
# * M_tot: 0.00 μB per cell
# * Fermi-level density of states: 9.640 states/eV/f.u.